First-principles (PBE) data for CoBi2Pt after structural relaxation, as listed in the Alexandria database.

abc: 6.4441 6.4441 6.8666
angles: 62.02 62.02 90.00
Last column: nearest neighbours and their distance in Å.
Positions (direct):
Bi (0.8750, 0.8517, 0.7500)  2 Co 2.53, 2 Pt 2.71
Bi (0.3750, 0.3983, 0.7500)  2 Co 2.53, 2 Pt 2.71
Bi (0.6017, 0.1250, 0.2500)  2 Co 2.53, 2 Pt 2.71
Bi (0.1483, 0.6250, 0.2500)  2 Co 2.53, 2 Pt 2.71
Pt (0.7500, 0.2500, 0.5000)  4 Bi 2.71
Pt (0.0000, 0.0000, 0.0000)  4 Bi 2.71
Co (0.5000, 0.5000, 0.0000)  4 Bi 2.53
Co (0.2500, 0.7500, 0.5000)  4 Bi 2.53

Its excess energy over the best structure of this formula in the dataset is 120.4 meV/atom. Its volume is 213.3 Å³ per cell. For the electronic total energy, the calculation gives -4.84 eV per atom. The calculation puts the formation energy at 0.392 eV per atom.


First-principles (PBE) data for Sm4BiTe2P after structural relaxation, as listed in the Alexandria database.

abc: 4.3500 7.6502 7.6577
angles: 70.99 90.00 90.00
Last column: nearest neighbours and their distance in Å.
Positions (direct):
Sm (0.5000, 0.7206, 0.2793)  2 P 2.93, 1 Bi 3.13, 1 Te 3.13
Sm (0.0000, 0.2679, 0.2674)  1 P 2.90, 2 Bi 3.12, 2 Te 3.12
Sm (0.0000, 0.7321, 0.7326)  1 P 2.90, 2 Bi 3.12, 2 Te 3.12
Sm (0.5000, 0.2794, 0.7207)  2 P 2.93, 1 Bi 3.13, 1 Te 3.13
P (0.0000, 0.5000, 0.5000)  6 Sm 2.90-2.93
Te (0.5000, 0.0000, 0.5000)  6 Sm 3.12-3.13
Te (0.0000, 0.0000, 0.0000)  6 Sm 3.30-3.34
Bi (0.5000, 0.5000, 0.0000)  6 Sm 3.12-3.13

Its volume is 240.9 Å³ per cell. For the electronic total energy, the calculation gives -5.65 eV per atom.


First-principles (PBE) data for UBr4Cl2 after structural relaxation, as listed in the Alexandria database.

abc: 7.4019 8.0155 7.4149
angles: 121.32 121.67 60.37
Last column: nearest neighbours and their distance in Å.
Positions (direct):
U (0.0000, 0.0000, 0.0000)  2 Cl 2.47, 4 Br 2.64
Cl (0.7901, 0.7746, 0.6486)  1 U 2.47
Cl (0.2099, 0.2254, 0.3514)  1 U 2.47
Br (0.6372, 0.2309, 0.1010)  1 U 2.64
Br (0.1059, 0.7715, 0.2195)  1 U 2.64
Br (0.3628, 0.7691, 0.8990)  1 U 2.64
Br (0.8941, 0.2285, 0.7805)  1 U 2.64

Its volume is 304.7 Å³ per cell. For the electronic total energy, the calculation gives -4.33 eV per atom.


First-principles (PBE) data for Tl2AsW after structural relaxation, as listed in the Alexandria database.

abc: 2.9125 2.9125 10.6351
angles: 90.00 90.00 90.00
Last column: nearest neighbours and their distance in Å.
Positions (direct):
W (0.5000, 0.5000, 0.2500)  4 W 2.91, 8 Tl 3.22
Tl (0.0000, 0.0000, 0.0173)  4 Tl 2.91, 4 W 3.22
Tl (0.0000, 0.0000, 0.4827)  4 Tl 2.91, 4 W 3.22
As (0.5000, 0.5000, 0.7500)  4 As 2.91

Its excess energy over the best structure of this formula in the dataset is 625.0 meV/atom. Its volume is 90.2 Å³ per cell. For the electronic total energy, the calculation gives -4.62 eV per atom. The calculation puts the formation energy at 0.962 eV per atom.


First-principles (PBE) data for Sr2TcPb after structural relaxation, as listed in the Alexandria database.

abc: 4.5897 3.5288 8.0617
angles: 64.28 90.00 90.00
Last column: nearest neighbours and their distance in Å.
Positions (direct):
Sr (0.0000, 0.5133, 0.4848)  4 Tc 3.35-3.37, 3 Sr 3.41-3.53, 4 Pb 3.48
Sr (0.0000, 0.9867, 0.0152)  4 Tc 3.35-3.37, 3 Sr 3.41-3.53, 4 Pb 3.48
Pb (0.5000, 0.7500, 0.7500)  8 Sr 3.48, 2 Pb 3.53, 2 Tc 3.63
Tc (0.5000, 0.2500, 0.2500)  8 Sr 3.35-3.37, 2 Tc 3.53, 2 Pb 3.63

Its volume is 117.6 Å³ per cell. For the electronic total energy, the calculation gives -3.92 eV per atom. The calculation puts the formation energy at 0.444 eV per atom.


First-principles (PBE) data for Ca3Pm2YSe6 after structural relaxation, as listed in the Alexandria database.

abc: 7.1892 7.1892 7.3174
angles: 99.46 99.46 119.94
Last column: nearest neighbours and their distance in Å.
Positions (direct):
Pm (0.6661, 0.3339, 0.0000)  6 Se 2.98
Pm (0.3339, 0.6661, 0.0000)  6 Se 2.98
Se (0.2432, 0.2432, 0.7480)  1 Y 2.93, 3 Ca 2.94-2.98, 2 Pm 2.98
Se (0.4113, 0.0836, 0.2514)  1 Y 2.93, 3 Ca 2.93-2.97, 2 Pm 2.98
Se (0.7568, 0.7568, 0.2520)  1 Y 2.93, 3 Ca 2.94-2.98, 2 Pm 2.98
Se (0.9164, 0.5887, 0.7486)  1 Y 2.93, 3 Ca 2.93-2.97, 2 Pm 2.98
Se (0.0836, 0.4113, 0.2514)  1 Y 2.93, 3 Ca 2.93-2.97, 2 Pm 2.98
Se (0.5887, 0.9164, 0.7486)  1 Y 2.93, 3 Ca 2.93-2.97, 2 Pm 2.98
Ca (0.5000, 0.5000, 0.5000)  6 Se 2.93-2.98
Ca (0.8318, 0.1682, 0.5000)  6 Se 2.93-2.97
Ca (0.1682, 0.8318, 0.5000)  6 Se 2.93-2.97
Y (0.0000, 0.0000, 0.0000)  6 Se 2.93

Its volume is 309.5 Å³ per cell. For the electronic total energy, the calculation gives -5.47 eV per atom.


First-principles (PBE) data for Mg8Cd2Ga after structural relaxation, as listed in the Alexandria database.

abc: 4.4594 6.9732 8.2905
angles: 106.06 105.60 90.00
Last column: nearest neighbours and their distance in Å.
Positions (direct):
Mg (0.6783, 0.9167, 0.3567)  3 Cd 3.02-3.14, 1 Ga 3.07, 8 Mg 3.11-3.21
Mg (0.9571, 0.2636, 0.9143)  9 Mg 3.09-3.24, 2 Ga 3.09, 1 Cd 3.11
Mg (0.4081, 0.5509, 0.8163)  1 Ga 3.05, 3 Cd 3.09-3.22, 8 Mg 3.10-3.24
Mg (0.1391, 0.1890, 0.2782)  3 Cd 3.07-3.12, 7 Mg 3.09-3.21, 2 Ga 3.16
Mg (0.3217, 0.0833, 0.6433)  3 Cd 3.02-3.14, 1 Ga 3.07, 8 Mg 3.11-3.21
Mg (0.8609, 0.8110, 0.7218)  3 Cd 3.07-3.12, 7 Mg 3.09-3.21, 2 Ga 3.16
Mg (0.5919, 0.4491, 0.1837)  1 Ga 3.05, 3 Cd 3.09-3.22, 8 Mg 3.10-3.24
Mg (0.0429, 0.7364, 0.0857)  9 Mg 3.09-3.24, 2 Ga 3.09, 1 Cd 3.11
Ga (0.5000, 0.0000, 0.0000)  12 Mg 3.05-3.16
Cd (0.2222, 0.6440, 0.4445)  10 Mg 3.02-3.22, 2 Cd 3.29
Cd (0.7778, 0.3560, 0.5555)  10 Mg 3.02-3.22, 2 Cd 3.29

Its excess energy over the best structure of this formula in the dataset is 0.0 meV/atom. Its volume is 237.8 Å³ per cell. For the electronic total energy, the calculation gives -1.66 eV per atom. The calculation puts the formation energy at -0.061 eV per atom.


First-principles (PBE) data for LiLa6Pm2 after structural relaxation, as listed in the Alexandria database.

abc: 6.6247 13.6079 10.4442
angles: 41.97 94.03 97.59
Last column: nearest neighbours and their distance in Å.
Positions (direct):
Pm (0.7390, 0.4800, 0.9467)  7 La 3.58-3.79, 4 Pm 3.66-3.70
Pm (0.6406, 0.8458, 0.7105)  9 La 3.54-3.96, 3 Pm 3.68-3.73
Pm (0.3594, 0.1542, 0.2895)  9 La 3.54-3.96, 3 Pm 3.68-3.73
Pm (0.2610, 0.5200, 0.0533)  7 La 3.58-3.79, 4 Pm 3.66-3.70
La (0.1854, 0.4265, 0.8027)  2 Li 3.31-3.48, 2 Pm 3.63-3.65, 4 La 3.64-3.69
La (0.9029, 0.2031, 0.4316)  1 Li 3.24, 3 Pm 3.54-3.62
La (0.7310, 0.9643, 0.9578)  2 Li 3.35-3.40, 2 La 3.68-3.74
La (0.4268, 0.2496, 0.5351)  1 Li 3.23, 2 La 3.49-3.53, 1 Pm 3.58
La (0.8146, 0.5735, 0.1973)  2 Li 3.31-3.48, 2 Pm 3.63-3.65, 4 La 3.64-3.69
La (0.3380, 0.6124, 0.3016)  2 Li 3.16-3.36, 1 La 3.53
La (0.8184, 0.1082, 0.1770)  6 La 3.49-3.91, 3 Pm 3.62-3.81
La (0.1816, 0.8918, 0.8230)  6 La 3.49-3.91, 3 Pm 3.62-3.81
La (0.0971, 0.7969, 0.5684)  1 Li 3.24, 3 Pm 3.54-3.62
La (0.2690, 0.0357, 0.0422)  2 Li 3.35-3.40, 2 La 3.68-3.74
La (0.6620, 0.3876, 0.6984)  2 Li 3.16-3.36, 1 La 3.53
La (0.5732, 0.7504, 0.4649)  1 Li 3.23, 2 La 3.49-3.53, 1 Pm 3.58
Li (0.0271, 0.2958, 0.6389)  8 La 3.16-3.48
Li (0.9729, 0.7042, 0.3611)  8 La 3.16-3.48

Its volume is 623.6 Å³ per cell. For the electronic total energy, the calculation gives -4.51 eV per atom. The calculation puts the formation energy at 0.045 eV per atom.


First-principles (PBE) data for Ca2Zn2Au after structural relaxation, as listed in the Alexandria database.

abc: 3.7097 3.7097 9.2423
angles: 78.42 78.42 90.00
Last column: nearest neighbours and their distance in Å.
Positions (direct):
Zn (0.7500, 0.2500, 0.5000)  4 Zn 2.62
Zn (0.2500, 0.7500, 0.5000)  4 Zn 2.62
Ca (0.4011, 0.4011, 0.1978)  4 Au 3.16, 4 Zn 3.26, 1 Ca 3.51
Ca (0.5989, 0.5989, 0.8022)  4 Au 3.16, 4 Zn 3.26, 1 Ca 3.51
Au (0.0000, 0.0000, 0.0000)  8 Ca 3.16

Its excess energy over the best structure of this formula in the dataset is 122.2 meV/atom. Its volume is 122.0 Å³ per cell. For the electronic total energy, the calculation gives -2.31 eV per atom. The calculation puts the formation energy at -0.344 eV per atom.


First-principles (PBE) data for La8CuP3I4 after structural relaxation, as listed in the Alexandria database.

abc: 8.6297 9.2535 8.6292
angles: 117.79 120.00 90.00
Last column: nearest neighbours and their distance in Å.
Positions (direct):
P (0.5000, 0.5000, 0.5000)  6 La 2.92
P (0.0000, 0.5000, 0.5000)  6 La 2.92
P (0.5000, 0.5000, 0.0000)  6 La 2.92
I (0.5000, 0.0000, 0.0000)  6 La 3.40
I (0.0000, 0.0000, 0.5000)  6 La 3.44-3.45
I (0.0000, 0.0000, 0.0000)  6 La 3.44-3.45
I (0.5000, 0.0000, 0.5000)  6 La 3.44-3.45
La (0.7647, 0.3010, 0.0363)  2 P 2.92, 1 Cu 2.96
La (0.2716, 0.3010, 0.0363)  2 P 2.92, 1 Cu 2.96
La (0.7284, 0.6990, 0.9637)  2 P 2.92, 1 Cu 2.96
La (0.2353, 0.6990, 0.9637)  2 P 2.92, 1 Cu 2.96
La (0.2685, 0.3054, 0.5369)  3 P 2.92
La (0.7647, 0.3010, 0.5294)  2 P 2.92, 1 Cu 2.96
La (0.2353, 0.6990, 0.4706)  2 P 2.92, 1 Cu 2.96
La (0.7315, 0.6946, 0.4631)  3 P 2.92
Cu (0.0000, 0.5000, 0.0000)  6 La 2.96

Its volume is 502.9 Å³ per cell. For the electronic total energy, the calculation gives -5.34 eV per atom.


First-principles (PBE) data for CeAsF after structural relaxation, as listed in the Alexandria database.

abc: 3.4535 3.4535 11.1493
angles: 98.91 98.91 90.00
Last column: nearest neighbours and their distance in Å.
Positions (direct):
F (0.4155, 0.4155, 0.8310)  4 Ce 2.70, 1 As 2.93
F (0.5845, 0.5845, 0.1690)  4 Ce 2.70, 1 As 2.93
Ce (0.8623, 0.8623, 0.7246)  4 F 2.70, 4 As 3.02
Ce (0.1377, 0.1377, 0.2754)  4 F 2.70, 4 As 3.02
As (0.2810, 0.2810, 0.5619)  4 As 2.79, 1 F 2.93, 5 Ce 3.02-3.12
As (0.7190, 0.7190, 0.4381)  4 As 2.79, 1 F 2.93, 5 Ce 3.02-3.12

Its excess energy over the best structure of this formula in the dataset is 402.9 meV/atom. Its volume is 129.7 Å³ per cell. For the electronic total energy, the calculation gives -5.99 eV per atom.


First-principles (PBE) data for RbSrIn2 after structural relaxation, as listed in the Alexandria database.

abc: 5.9641 5.9641 5.9641
angles: 60.00 60.00 60.00
Last column: nearest neighbours and their distance in Å.
Positions (direct):
In (0.2500, 0.2500, 0.2500)  4 Rb 3.65, 4 Sr 3.65
In (0.7500, 0.7500, 0.7500)  4 Sr 3.65, 4 Rb 3.65
Rb (0.0000, 0.0000, 0.0000)  8 In 3.65
Sr (0.5000, 0.5000, 0.5000)  8 In 3.65

Its excess energy over the best structure of this formula in the dataset is 0.0 meV/atom. Its volume is 150.0 Å³ per cell. For the electronic total energy, the calculation gives -2.12 eV per atom. The calculation puts the formation energy at -0.086 eV per atom.